(1)
BaSi2AgGe | Alexandria | PBE | relaxed; space group = No. 123; raw formation energy = 0.585 eV/atom; final energy = -3.4622 eV/atom
1.0
-0.0176 -4.3979 -1.9990
3.7636 -2.1437 4.6831
-3.9004 -1.1664 2.6007
Ge Si Ba Ag
1 2 1 1
Direct
0.0000 0.0000 0.0000
0.0000 0.0000 0.5000
0.5000 0.0000 0.0000
0.0000 0.5000 0.0000
0.5000 0.5000 0.5000

---

(2)
Ba2Ag3Sn4Ge | Alexandria | PBE | relaxed; space group = No. 115; energy relative to the elements = -0.376 eV/atom; final energy = -3.6792 eV/atom
1.0
4.8529 0.0000 0.0000
0.0000 4.8529 0.0000
0.0000 0.0000 11.7090
Ba Ag Sn Ge
2 3 4 1
Direct
0.5000 0.0000 0.2563
0.0000 0.5000 0.7437
0.0000 0.0000 0.5000
0.5000 0.0000 0.8658
0.0000 0.5000 0.1342
0.5000 0.5000 0.0000
0.0000 0.0000 0.0000
0.5000 0.0000 0.6284
0.0000 0.5000 0.3716
0.5000 0.5000 0.5000

---

(3)
Ba2AgSn6Ge | Alexandria | PBE | relaxed; space group = No. 166; energy relative to the elements = -0.180 eV/atom; final energy = -3.7128 eV/atom
1.0
6.9585 0.0000 0.0000
3.4792 6.0262 0.0000
3.4792 2.0087 15.5640
Ba Ag Sn Ge
4 2 12 2
Direct
0.8798 0.8798 0.3605
0.1202 0.1202 0.6395
0.6878 0.6878 0.9365
0.3122 0.3122 0.0635
0.0000 0.0000 0.0000
0.5000 0.5000 0.5000
0.9178 0.3438 0.3945
0.3438 0.9178 0.3945
0.3438 0.3438 0.3945
0.0822 0.6562 0.6055
0.6562 0.0822 0.6055
0.6562 0.6562 0.6055
0.7522 0.1975 0.8527
0.1975 0.7522 0.8527
0.1975 0.1975 0.8527
0.2478 0.8025 0.1473
0.8025 0.2478 0.1473
0.8025 0.8025 0.1473
0.5762 0.5762 0.2714
0.4238 0.4238 0.7286

---

(4)
Ba2Ag4Sn3Ge | Alexandria | PBE | relaxed; space group = No. 115; energy relative to the elements = -0.342 eV/atom; final energy = -3.5295 eV/atom
1.0
4.8629 0.0000 0.0000
0.0000 4.8629 0.0000
0.0000 0.0000 11.3006
Ba Ag Sn Ge
2 4 3 1
Direct
0.5000 0.0000 0.2506
0.0000 0.5000 0.7494
0.5000 0.5000 0.0000
0.0000 0.0000 0.0000
0.5000 0.0000 0.6241
0.0000 0.5000 0.3759
0.0000 0.0000 0.5000
0.5000 0.0000 0.8722
0.0000 0.5000 0.1278
0.5000 0.5000 0.5000

---

(5)
BaTaAg2Ge | Alexandria | PBE | relaxed; space group = No. 123; energy relative to the elements = 0.297 eV/atom; final energy = -4.5218 eV/atom
1.0
5.3250 0.0000 0.0000
0.0000 5.0497 0.0000
0.0000 0.0000 5.3250
Ge Ba Ag Ta
1 1 2 1
Direct
0.0000 0.5000 0.0000
0.5000 0.5000 0.5000
0.0000 0.0000 0.5000
0.5000 0.0000 0.0000
0.0000 0.0000 0.0000

---

(6)
Ba2TiAgGe | Alexandria | PBE | relaxed; space group = No. 123; energy relative to the elements = 0.584 eV/atom; final energy = -3.2580 eV/atom
1.0
6.4134 0.0000 0.0000
0.0000 4.8380 0.0000
0.0000 0.0000 6.4134
Ge Ba Ag Ti
1 2 1 1
Direct
0.0000 0.0000 0.0000
0.0000 0.0000 0.5000
0.5000 0.0000 0.0000
0.0000 0.5000 0.0000
0.5000 0.5000 0.5000